Entry 1:
A plane-wave DFT calculation with PBE was carried out for a relaxed structure of CsRb3Zn2Pb2.

Results
The value obtained for the total DFT energy (no corrections) is -14.611 eV per cell.

POSCAR file:
```
CsRb3Zn2Pb2
1.0
7.1587 0.0000 0.0000
0.0000 6.9575 0.0000
-2.3092 0.0000 6.8978
Zn Pb Rb Cs
2 2 3 1
Direct
0.4963 0.2500 0.5019
0.4963 0.7500 0.5019
0.7422 0.5000 0.7466
0.2617 0.0000 0.2476
0.9882 0.5000 0.3258
0.3277 0.5000 0.9941
0.6753 0.0000 0.0088
0.0122 0.0000 0.6735
```

***

Entry 2:
A plane-wave DFT calculation with PBE was carried out for a relaxed structure of CsTmPbS3.

Results
The value obtained for the total DFT energy (no corrections) is -118.275 eV per cell.

POSCAR file:
```
CsTmPbS3
1.0
16.0952 0.0000 0.0000
0.0000 4.0628 0.0000
0.0000 0.0000 12.1574
S Pb Cs Tm
12 4 4 4
Direct
0.5791 0.7500 0.7505
0.8750 0.2500 0.8013
0.0903 0.2500 0.4573
0.6250 0.7500 0.3013
0.1250 0.7500 0.1987
0.0791 0.7500 0.7495
0.3750 0.2500 0.6987
0.9097 0.7500 0.5427
0.9209 0.2500 0.2505
0.4209 0.2500 0.2495
0.5903 0.2500 0.0427
0.4097 0.7500 0.9573
0.9585 0.7500 0.8945
0.5415 0.2500 0.3945
0.4585 0.7500 0.6055
0.0415 0.2500 0.1055
0.2357 0.2500 0.9111
0.7643 0.7500 0.0889
0.2643 0.7500 0.4111
0.7357 0.2500 0.5889
0.5032 0.7500 0.1366
0.4968 0.2500 0.8634
0.9968 0.2500 0.6366
0.0032 0.7500 0.3634
```

***

Entry 3:
A plane-wave DFT calculation with PBE was carried out for a relaxed structure of CsTmPbSe3.

Results
For the energy above the most stable polymorph in this dataset, the calculation gives 0.000 kcal/mol of atoms.

POSCAR file:
```
CsTmPbSe3
1.0
-0.1810 -15.6303 -5.7567
0.4901 -1.4512 3.9248
-12.2682 -0.3715 1.3945
Cs Se Pb Tm
4 12 4 4
Direct
0.2669 0.2500 0.5814
0.2331 0.7500 0.0814
0.7669 0.2500 0.9186
0.7331 0.7500 0.4186
0.3705 0.7500 0.3089
0.4056 0.2500 0.0413
0.0944 0.7500 0.5413
0.0826 0.2500 0.2492
0.1295 0.2500 0.8089
0.8705 0.7500 0.1911
0.9174 0.7500 0.7508
0.5944 0.7500 0.9587
0.9056 0.2500 0.4587
0.6295 0.2500 0.6911
0.5826 0.2500 0.2508
0.4174 0.7500 0.7492
0.5397 0.7500 0.5995
0.9603 0.2500 0.0995
0.0397 0.7500 0.9005
0.4603 0.2500 0.4005
0.4944 0.7500 0.1394
0.9944 0.7500 0.3606
0.5056 0.2500 0.8606
0.0056 0.2500 0.6394
```

***

Entry 4:
A plane-wave DFT calculation with PBE was carried out for a relaxed structure of CsTmPbSe3.

Results
For the energy above the most stable polymorph in this dataset, the calculation gives 2.087 kcal/mol of atoms.

POSCAR file:
```
CsTmPbSe3
1.0
7.7025 1.9570 3.9991
-8.8560 0.3727 -0.7630
-1.0033 -9.9329 6.7931
Se Pb Cs Tm
6 2 2 2
Direct
0.9878 0.0122 0.7500
0.3894 0.6106 0.0051
0.6106 0.3894 0.9949
0.0122 0.9878 0.2500
0.3894 0.6106 0.4949
0.6106 0.3894 0.5051
0.4007 0.5993 0.2500
0.5993 0.4007 0.7500
0.6978 0.3022 0.2500
0.3022 0.6978 0.7500
0.0000 0.0000 0.0000
0.0000 0.0000 0.5000
```

***

What did the third record say?
A plane-wave DFT calculation with PBE was carried out for a relaxed structure of CsTmPbSe3.

Results
For the energy above the most stable polymorph in this dataset, the calculation gives 0.000 kcal/mol of atoms.

POSCAR file:
```
CsTmPbSe3
1.0
-0.1810 -15.6303 -5.7567
0.4901 -1.4512 3.9248
-12.2682 -0.3715 1.3945
Cs Se Pb Tm
4 12 4 4
Direct
0.2669 0.2500 0.5814
0.2331 0.7500 0.0814
0.7669 0.2500 0.9186
0.7331 0.7500 0.4186
0.3705 0.7500 0.3089
0.4056 0.2500 0.0413
0.0944 0.7500 0.5413
0.0826 0.2500 0.2492
0.1295 0.2500 0.8089
0.8705 0.7500 0.1911
0.9174 0.7500 0.7508
0.5944 0.7500 0.9587
0.9056 0.2500 0.4587
0.6295 0.2500 0.6911
0.5826 0.2500 0.2508
0.4174 0.7500 0.7492
0.5397 0.7500 0.5995
0.9603 0.2500 0.0995
0.0397 0.7500 0.9005
0.4603 0.2500 0.4005
0.4944 0.7500 0.1394
0.9944 0.7500 0.3606
0.5056 0.2500 0.8606
0.0056 0.2500 0.6394
```